Record 1
A plane-wave DFT calculation with PBEsol was carried out for Be2SbS2 after structural relaxation.

The structure in POSCAR format:
```
Be2SbS2
1.0
-1.404 2.474 -1.807
-6.721 -3.756 0.081
-1.954 3.636 6.499
Sb S Be
2 4 4
Cartesian
0.000 0.000 0.000
-4.337 -0.060 3.290
-4.004 1.776 5.546
-6.978 -0.821 4.300
-4.671 -1.896 1.035
-1.697 0.701 2.280
-3.900 3.025 4.031
-7.237 1.103 3.993
-6.179 -0.670 0.743
-2.842 1.251 0.780
```



Record 2
A plane-wave DFT calculation with PBEsol was carried out for Sc3BeS after structural relaxation.

The structure in POSCAR format:
```
Sc3BeS
1.0
4.714 0.000 0.000
0.000 4.714 0.000
0.000 0.000 4.714
Sc Be S
3 1 1
Cartesian
0.000 2.357 0.000
0.000 0.000 2.357
2.357 0.000 0.000
2.357 2.357 2.357
0.000 0.000 0.000
```



Record 3
A plane-wave DFT calculation with PBEsol was carried out for Be2SeS after structural relaxation.

The structure in POSCAR format:
```
Be2SeS
1.0
4.986 0.000 0.000
0.000 4.986 0.000
-2.493 -2.493 4.983
Be S Se
4 2 2
Cartesian
1.340 3.740 1.246
3.646 1.247 1.246
-1.247 -1.153 3.737
1.247 1.153 3.737
2.493 0.000 2.491
2.493 2.493 0.000
0.000 2.493 2.491
0.000 0.000 0.000
```



Record 4
A plane-wave DFT calculation with PBEsol was carried out for BeZnSi2S after structural relaxation.

The structure in POSCAR format:
```
BeZnSi2S
1.0
-0.163 4.226 1.274
0.241 -1.312 4.385
4.574 0.231 -0.182
Be Zn Si S
1 1 2 1
Cartesian
2.326 1.572 2.738
-0.081 2.113 0.637
2.287 0.115 -0.091
0.120 -0.656 2.193
0.000 0.000 0.000
```



Listing uncorrected formation energy for the structures above in their given order: 0.7 -2.3 -3.7 5.1 eV per formula unit.
Listing magnetization for the structures above in their given order: 0.00 0.00 0.00 0.00 μB per formula unit.
Listing density of states at the Fermi level for the structures above in their given order: 2.368 2.775 0.000 2.355 states/eV/f.u..